Computed, not measured: a crystal of Zr3TeP relaxed with PBEsol at the meta-GGA SCAN level of DFT.

Cell lengths 4.844, 4.844, 4.844 Å; angles 90.00, 90.00, 90.00 degrees
Space group Pm-3m (No. 221)
Inequivalent atoms, fractional coordinates:
Zr 0.000 0.000 0.500 x3
Te 0.500 0.500 0.500 x1
P 0.000 0.000 0.000 x1

Results
- Raw formation energy: -0.37 eV/atom

---

Computed, not measured: a crystal of SiAs2Cl relaxed with PBEsol at the meta-GGA SCAN level of DFT.

Cell lengths 3.185, 4.629, 9.996 Å; angles 90.00, 90.00, 90.00 degrees
Space group Immm (No. 71)
Inequivalent atoms, fractional coordinates:
Si 0.000 0.000 0.000 x2
As 0.000 0.500 0.292 x4
Cl 0.000 0.000 0.500 x2

Results
- Raw formation energy: 0.34 eV/atom
- ΔE to the lowest computed polymorph: 288.5 meV per atom

---

Computed, not measured: a crystal of MnIrOs2 relaxed with PBEsol at the meta-GGA SCAN level of DFT.

Cell lengths 2.667, 2.667, 7.391 Å; angles 90.00, 90.00, 90.00 degrees
Space group P4/mmm (No. 123)
Inequivalent atoms, fractional coordinates:
Mn 0.000 0.000 0.000 x1
Ir 0.000 0.000 0.500 x1
Os 0.500 0.500 0.235 x2

Results
- ΔE to the lowest computed polymorph: 212.6 meV per atom
- Energy relative to the elements: 0.099 eV/atom

---

Computed, not measured: a crystal of MgCr2Ni relaxed with PBEsol at the meta-GGA SCAN level of DFT.

Cell lengths 3.380, 3.380, 4.252 Å; angles 90.00, 90.00, 90.00 degrees
Space group P4/mmm (No. 123)
Inequivalent atoms, fractional coordinates:
Mg 0.000 0.000 0.000 x1
Cr 0.000 0.500 0.500 x2
Ni 0.500 0.500 0.000 x1

Results
- Energy relative to the elements: 0.377 eV/atom

---

Computed, not measured: a crystal of SrCrHg4 relaxed with PBEsol at the meta-GGA SCAN level of DFT.

Cell lengths 8.249, 8.249, 8.249 Å; angles 90.00, 90.00, 90.00 degrees
Space group F-43m (No. 216)
Inequivalent atoms, fractional coordinates:
Sr 0.000 0.000 0.000 x4
Cr 0.250 0.250 0.750 x4
Hg 0.124 0.124 0.376 x16

Results
- Energy relative to the elements: -0.076 eV/atom

---

Computed, not measured: a crystal of Al2SiNi relaxed with PBEsol at the meta-GGA SCAN level of DFT.

Cell lengths 5.065, 3.767, 6.005 Å; angles 90.00, 90.00, 90.00 degrees
Space group Pmma (No. 51)
Inequivalent atoms, fractional coordinates:
Al 0.000 0.000 0.000 x2
Al 0.250 0.000 0.417 x2
Si 0.250 0.500 0.728 x2
Ni 0.250 0.500 0.124 x2

Results
- Raw formation energy: -0.11 eV/atom
- ΔE to the lowest computed polymorph: 226.6 meV per atom

---

Number 1: DOS at the Fermi energy 5.5 states/eV/f.u., total DFT energy (no corrections) -28.32 eV/atom. Number 2: DOS at the Fermi energy 1.6 states/eV/f.u., total DFT energy (no corrections) -14.25 eV/atom. Number 3: DOS at the Fermi energy 3.8 states/eV/f.u., total DFT energy (no corrections) -58.18 eV/atom. Number 4: DOS at the Fermi energy 4.9 states/eV/f.u., total DFT energy (no corrections) -14.10 eV/atom. Number 5: DOS at the Fermi energy 2.3 states/eV/f.u., total DFT energy (no corrections) -52.30 eV/atom. Number 6: DOS at the Fermi energy 1.5 states/eV/f.u., total DFT energy (no corrections) -10.53 eV/atom.